Entry 1:
TcIrAu2: relaxed, GGA-PBE.

a b c (Å): 5.669 5.669 5.669
angles (deg): 151.31 129.75 58.89
Atoms (fractional coordinates):
Au1 0.009 0.009 0.000
Au2 0.737 0.237 0.500
Ir1 0.483 0.483 0.000
Tc1 0.271 0.771 0.500

Output
ΔH_f (0 K) = 0.3953 eV/atom

***

Entry 2:
TcIrAu: relaxed, GGA-PBE.

a b c (Å): 2.783 2.783 7.004
angles (deg): 90.00 90.00 120.00
Atoms (fractional coordinates):
Au1 0.000 0.000 0.997
Ir1 0.667 0.333 0.353
Tc1 0.333 0.667 0.650

Output
ΔH_f (0 K) = 0.1105 eV/atom

***

Entry 3:
TcIrAu2: relaxed, GGA-PBE.

a b c (Å): 4.911 4.911 4.911
angles (deg): 131.90 131.90 70.38
Atoms (fractional coordinates):
Au1 0.000 0.000 0.000
Au2 0.500 0.500 0.000
Ir1 0.250 0.750 0.500
Tc1 0.750 0.250 0.500

Output
ΔH_f (0 K) = 0.4734 eV/atom

***

Entry 4:
TcIrAu2: relaxed, GGA-PBE.

a b c (Å): 9.461 9.461 9.461
angles (deg): 17.19 17.19 17.19
Site moments in Bohr magnetons follow the coordinates.
Atoms (fractional coordinates):
Au1 0.001 0.001 0.001  0.03
Au2 0.499 0.499 0.499  0.03
Ir1 0.250 0.250 0.250  0.42
Tc1 0.750 0.750 0.750  0.29

Output
ΔH_f (0 K) = 0.4144 eV/atom

***

Entry 5:
TcIrAu2: relaxed, GGA-PBE.

a b c (Å): 2.761 2.761 9.788
angles (deg): 90.00 90.00 118.35
Site moments in Bohr magnetons follow the coordinates.
Atoms (fractional coordinates):
Au1 0.000 0.000 0.000  0.01
Au2 0.000 0.000 0.500  0.01
Ir1 0.500 0.500 0.250  0.03
Tc1 0.500 0.500 0.750  0.21

Output
ΔH_f (0 K) = 0.5031 eV/atom

***

Entry 6:
TcIrAu: relaxed, GGA-PBE.

a b c (Å): 4.912 4.912 4.912
angles (deg): 146.67 133.69 58.25
Atoms (fractional coordinates):
Au1 0.000 0.000 0.000
Ir1 0.680 0.680 0.000
Tc1 0.320 0.320 0.000

Output
ΔH_f (0 K) = 0.1685 eV/atom